Entry 1:
# Sn2Te2I | Alexandria via LeMat-Bulk | PBE-GGA | optimized geometry
data_Sn2Te2I
_symmetry_space_group_name_H-M 'I m m m'
_symmetry_Int_Tables_number 71
_symmetry_space_group_name_Hall '-I 2 2'
_cell_length_a 4.417
_cell_length_b 6.064
_cell_length_c 13.448
_cell_angle_alpha 90.00
_cell_angle_beta 90.00
_cell_angle_gamma 90.00
loop_
_atom_site_label
_atom_site_type_symbol
_atom_site_fract_x
_atom_site_fract_y
_atom_site_fract_z
Sn1 Sn 0.000 0.000 0.190
Te1 Te 0.000 0.500 0.155
I1 I 0.000 0.500 0.500
# - calculated volume (Å³ per cell) = 360
# - total energy (eV per cell) = -34.51

Entry 2:
# Sn2Te2I | Alexandria via LeMat-Bulk | PBE-GGA | optimized geometry
data_Sn2Te2I
_symmetry_space_group_name_H-M 'P 4/m b m'
_symmetry_Int_Tables_number 127
_symmetry_space_group_name_Hall '-P 4 2ab'
_cell_length_a 9.247
_cell_length_b 9.247
_cell_length_c 3.859
_cell_angle_alpha 90.00
_cell_angle_beta 90.00
_cell_angle_gamma 90.00
loop_
_atom_site_label
_atom_site_type_symbol
_atom_site_fract_x
_atom_site_fract_y
_atom_site_fract_z
Sn1 Sn 0.141 0.359 0.000
Te1 Te 0.137 0.637 0.500
I1 I 0.000 0.000 0.500
# - calculated volume (Å³ per cell) = 330
# - total energy (eV per cell) = -31.87

Entry 3:
# SnTe3I | Alexandria via LeMat-Bulk | PBE-GGA | optimized geometry
data_SnTe3I
_symmetry_space_group_name_H-M 'P m -3 m'
_symmetry_Int_Tables_number 221
_symmetry_space_group_name_Hall '-P 4 2 3'
_cell_length_a 5.833
_cell_length_b 5.833
_cell_length_c 5.833
_cell_angle_alpha 90.00
_cell_angle_beta 90.00
_cell_angle_gamma 90.00
loop_
_atom_site_label
_atom_site_type_symbol
_atom_site_fract_x
_atom_site_fract_y
_atom_site_fract_z
Sn1 Sn 0.000 0.000 0.000
Te1 Te 0.000 0.500 0.500
I1 I 0.500 0.500 0.500
# - calculated volume (Å³ per cell) = 198
# - total energy (eV per cell) = -11.56

Entry 4:
# Sn2Te2I | Alexandria via LeMat-Bulk | PBE-GGA | optimized geometry
data_Sn2Te2I
_symmetry_space_group_name_H-M 'P 1 21/m 1'
_symmetry_Int_Tables_number 11
_symmetry_space_group_name_Hall '-P 2yb'
_cell_length_a 6.186
_cell_length_b 4.346
_cell_length_c 13.553
_cell_angle_alpha 90.00
_cell_angle_beta 90.05
_cell_angle_gamma 90.00
loop_
_atom_site_label
_atom_site_type_symbol
_atom_site_fract_x
_atom_site_fract_y
_atom_site_fract_z
Sn1 Sn 0.249 0.250 0.246
Sn2 Sn 0.251 0.250 0.602
Te1 Te 0.250 0.750 0.418
Te2 Te 0.251 0.750 0.756
I1 I 0.249 0.750 0.085
# - calculated volume (Å³ per cell) = 364
# - total energy (eV per cell) = -34.49

Entry 5:
# Sn3TeI | Alexandria via LeMat-Bulk | PBE-GGA | optimized geometry
data_Sn3TeI
_symmetry_space_group_name_H-M 'P m -3 m'
_symmetry_Int_Tables_number 221
_symmetry_space_group_name_Hall '-P 4 2 3'
_cell_length_a 5.986
_cell_length_b 5.986
_cell_length_c 5.986
_cell_angle_alpha 90.00
_cell_angle_beta 90.00
_cell_angle_gamma 90.00
loop_
_atom_site_label
_atom_site_type_symbol
_atom_site_fract_x
_atom_site_fract_y
_atom_site_fract_z
Sn1 Sn 0.000 0.000 0.500
Te1 Te 0.000 0.000 0.000
I1 I 0.500 0.500 0.500
# - calculated volume (Å³ per cell) = 214
# - total energy (eV per cell) = -14.25

Entry 6:
# Sn2TeI | Alexandria via LeMat-Bulk | PBE-GGA | optimized geometry
data_Sn2TeI
_symmetry_space_group_name_H-M 'F m -3 m'
_symmetry_Int_Tables_number 225
_symmetry_space_group_name_Hall '-F 4 2 3'
_cell_length_a 7.880
_cell_length_b 7.880
_cell_length_c 7.880
_cell_angle_alpha 90.00
_cell_angle_beta 90.00
_cell_angle_gamma 90.00
loop_
_atom_site_label
_atom_site_type_symbol
_atom_site_fract_x
_atom_site_fract_y
_atom_site_fract_z
Sn1 Sn 0.250 0.250 0.250
Te1 Te 0.000 0.000 0.000
I1 I 0.000 0.000 0.500
# - calculated volume (Å³ per cell) = 489
# - total energy (eV per cell) = -52.02

Entry 7:
# Sn5Te4I | Alexandria via LeMat-Bulk | PBE-GGA | optimized geometry
data_Sn5Te4I
_symmetry_space_group_name_H-M 'I m m m'
_symmetry_Int_Tables_number 71
_symmetry_space_group_name_Hall '-I 2 2'
_cell_length_a 4.342
_cell_length_b 6.416
_cell_length_c 24.314
_cell_angle_alpha 90.00
_cell_angle_beta 90.00
_cell_angle_gamma 90.00
loop_
_atom_site_label
_atom_site_type_symbol
_atom_site_fract_x
_atom_site_fract_y
_atom_site_fract_z
Sn1 Sn 0.000 0.000 0.000
Sn2 Sn 0.000 0.000 0.193
Sn3 Sn 0.000 0.000 0.386
Te1 Te 0.000 0.500 0.204
Te2 Te 0.000 0.500 0.401
I1 I 0.000 0.500 0.000
# - calculated volume (Å³ per cell) = 677
# - total energy (eV per cell) = -72.82

Entry 8:
# Sn2TeI | Alexandria via LeMat-Bulk | PBE-GGA | optimized geometry
data_Sn2TeI
_symmetry_space_group_name_H-M 'I -4 2 d'
_symmetry_Int_Tables_number 122
_symmetry_space_group_name_Hall 'I -4 2bw'
_cell_length_a 8.561
_cell_length_b 8.561
_cell_length_c 7.820
_cell_angle_alpha 90.00
_cell_angle_beta 90.00
_cell_angle_gamma 90.00
loop_
_atom_site_label
_atom_site_type_symbol
_atom_site_fract_x
_atom_site_fract_y
_atom_site_fract_z
Sn1 Sn 0.228 0.250 0.125
Te1 Te 0.000 0.000 0.000
I1 I 0.000 0.000 0.500
# - calculated volume (Å³ per cell) = 573
# - total energy (eV per cell) = -51.73

Entry 9:
# Sn2TeI2 | Alexandria via LeMat-Bulk | PBE-GGA | optimized geometry
data_Sn2TeI2
_symmetry_space_group_name_H-M 'R -3 m'
_symmetry_Int_Tables_number 166
_symmetry_space_group_name_Hall '-R 3 2"'
_cell_length_a 4.5364
_cell_length_b 4.5364
_cell_length_c 33.7891
_cell_angle_alpha 90.00
_cell_angle_beta 90.00
_cell_angle_gamma 120.00
loop_
_atom_site_label
_atom_site_type_symbol
_atom_site_fract_x
_atom_site_fract_y
_atom_site_fract_z
Sn1 Sn 0.0000 0.0000 0.1117
Te1 Te 0.0000 0.0000 0.5000
I1 I 0.0000 0.0000 0.2771
# - calculated volume (Å³ per cell) = 602
# - total energy (eV per cell) = -48.89

Entry 10:
# TlSnTe2I | Alexandria via LeMat-Bulk | PBE-GGA | optimized geometry
data_TlSnTe2I
_symmetry_space_group_name_H-M 'P 4/m m m'
_symmetry_Int_Tables_number 123
_symmetry_space_group_name_Hall '-P 4 2'
_cell_length_a 5.754
_cell_length_b 5.754
_cell_length_c 6.052
_cell_angle_alpha 90.00
_cell_angle_beta 90.00
_cell_angle_gamma 90.00
loop_
_atom_site_label
_atom_site_type_symbol
_atom_site_fract_x
_atom_site_fract_y
_atom_site_fract_z
Tl1 Tl 0.000 0.000 0.000
Sn1 Sn 0.500 0.500 0.500
Te1 Te 0.000 0.500 0.000
I1 I 0.000 0.000 0.500
# - calculated volume (Å³ per cell) = 200
# - total energy (eV per cell) = -12.40

Entry 11:
# TlSnTe2I | Alexandria via LeMat-Bulk | PBE-GGA | optimized geometry
data_TlSnTe2I
_symmetry_space_group_name_H-M 'P 4/m m m'
_symmetry_Int_Tables_number 123
_symmetry_space_group_name_Hall '-P 4 2'
_cell_length_a 5.747
_cell_length_b 5.747
_cell_length_c 6.221
_cell_angle_alpha 90.00
_cell_angle_beta 90.00
_cell_angle_gamma 90.00
loop_
_atom_site_label
_atom_site_type_symbol
_atom_site_fract_x
_atom_site_fract_y
_atom_site_fract_z
Tl1 Tl 0.000 0.000 0.000
Sn1 Sn 0.500 0.500 0.500
Te1 Te 0.000 0.500 0.500
I1 I 0.500 0.500 0.000
# - calculated volume (Å³ per cell) = 205
# - total energy (eV per cell) = -14.38

Entry 12:
# VSnTe2I | Alexandria via LeMat-Bulk | PBE-GGA | optimized geometry
data_VSnTe2I
_symmetry_space_group_name_H-M 'P 4/m m m'
_symmetry_Int_Tables_number 123
_symmetry_space_group_name_Hall '-P 4 2'
_cell_length_a 5.751
_cell_length_b 5.751
_cell_length_c 5.811
_cell_angle_alpha 90.00
_cell_angle_beta 90.00
_cell_angle_gamma 90.00
loop_
_atom_site_label
_atom_site_type_symbol
_atom_site_fract_x
_atom_site_fract_y
_atom_site_fract_z
V1 V 0.000 0.000 0.000
Sn1 Sn 0.500 0.500 0.500
Te1 Te 0.000 0.500 0.500
I1 I 0.500 0.500 0.000
# - calculated volume (Å³ per cell) = 192
# - total energy (eV per cell) = -17.19

Entry 13:
# VSnTe2I | Alexandria via LeMat-Bulk | PBE-GGA | optimized geometry
data_VSnTe2I
_symmetry_space_group_name_H-M 'P 4/m m m'
_symmetry_Int_Tables_number 123
_symmetry_space_group_name_Hall '-P 4 2'
_cell_length_a 5.327
_cell_length_b 5.327
_cell_length_c 5.508
_cell_angle_alpha 90.00
_cell_angle_beta 90.00
_cell_angle_gamma 90.00
loop_
_atom_site_label
_atom_site_type_symbol
_atom_site_fract_x
_atom_site_fract_y
_atom_site_fract_z
V1 V 0.000 0.000 0.000
Sn1 Sn 0.500 0.500 0.500
Te1 Te 0.000 0.500 0.000
I1 I 0.000 0.000 0.500
# - calculated volume (Å³ per cell) = 156
# - total energy (eV per cell) = -20.39

Entry 14:
# VSn2TeI | Alexandria via LeMat-Bulk | PBE-GGA | optimized geometry
data_VSn2TeI
_symmetry_space_group_name_H-M 'P 4/m m m'
_symmetry_Int_Tables_number 123
_symmetry_space_group_name_Hall '-P 4 2'
_cell_length_a 5.982
_cell_length_b 5.982
_cell_length_c 4.874
_cell_angle_alpha 90.00
_cell_angle_beta 90.00
_cell_angle_gamma 90.00
loop_
_atom_site_label
_atom_site_type_symbol
_atom_site_fract_x
_atom_site_fract_y
_atom_site_fract_z
V1 V 0.000 0.000 0.000
Sn1 Sn 0.000 0.500 0.500
Te1 Te 0.500 0.500 0.000
I1 I 0.000 0.000 0.500
# - calculated volume (Å³ per cell) = 174
# - total energy (eV per cell) = -16.26

Entry 15:
# SnTeWI2 | Alexandria via LeMat-Bulk | PBE-GGA | optimized geometry
data_SnTeWI2
_symmetry_space_group_name_H-M 'P 4/m m m'
_symmetry_Int_Tables_number 123
_symmetry_space_group_name_Hall '-P 4 2'
_cell_length_a 5.561
_cell_length_b 5.561
_cell_length_c 5.357
_cell_angle_alpha 90.00
_cell_angle_beta 90.00
_cell_angle_gamma 90.00
loop_
_atom_site_label
_atom_site_type_symbol
_atom_site_fract_x
_atom_site_fract_y
_atom_site_fract_z
Sn1 Sn 0.000 0.000 0.000
Te1 Te 0.500 0.500 0.000
W1 W 0.500 0.500 0.500
I1 I 0.000 0.500 0.500
# - calculated volume (Å³ per cell) = 166
# - total energy (eV per cell) = -19.96

Entry 16:
# SnTe2WI | Alexandria via LeMat-Bulk | PBE-GGA | optimized geometry
data_SnTe2WI
_symmetry_space_group_name_H-M 'P 4/m m m'
_symmetry_Int_Tables_number 123
_symmetry_space_group_name_Hall '-P 4 2'
_cell_length_a 5.347
_cell_length_b 5.347
_cell_length_c 5.586
_cell_angle_alpha 90.00
_cell_angle_beta 90.00
_cell_angle_gamma 90.00
loop_
_atom_site_label
_atom_site_type_symbol
_atom_site_fract_x
_atom_site_fract_y
_atom_site_fract_z
Sn1 Sn 0.000 0.000 0.000
Te1 Te 0.000 0.500 0.500
W1 W 0.500 0.500 0.500
I1 I 0.500 0.500 0.000
# - calculated volume (Å³ per cell) = 160
# - total energy (eV per cell) = -21.79

Entry 17:
# SnTe2WI | Alexandria via LeMat-Bulk | PBE-GGA | optimized geometry
data_SnTe2WI
_symmetry_space_group_name_H-M 'P 4/m m m'
_symmetry_Int_Tables_number 123
_symmetry_space_group_name_Hall '-P 4 2'
_cell_length_a 5.747
_cell_length_b 5.747
_cell_length_c 5.688
_cell_angle_alpha 90.00
_cell_angle_beta 90.00
_cell_angle_gamma 90.00
loop_
_atom_site_label
_atom_site_type_symbol
_atom_site_fract_x
_atom_site_fract_y
_atom_site_fract_z
Sn1 Sn 0.000 0.000 0.000
Te1 Te 0.000 0.500 0.000
W1 W 0.500 0.500 0.500
I1 I 0.000 0.000 0.500
# - calculated volume (Å³ per cell) = 188
# - total energy (eV per cell) = -17.44

Entry 18:
# SnTeWI2 | Alexandria via LeMat-Bulk | PBE-GGA | optimized geometry
data_SnTeWI2
_symmetry_space_group_name_H-M 'P 4/m m m'
_symmetry_Int_Tables_number 123
_symmetry_space_group_name_Hall '-P 4 2'
_cell_length_a 5.828
_cell_length_b 5.828
_cell_length_c 5.942
_cell_angle_alpha 90.00
_cell_angle_beta 90.00
_cell_angle_gamma 90.00
loop_
_atom_site_label
_atom_site_type_symbol
_atom_site_fract_x
_atom_site_fract_y
_atom_site_fract_z
Sn1 Sn 0.000 0.000 0.000
Te1 Te 0.000 0.000 0.500
W1 W 0.500 0.500 0.500
I1 I 0.000 0.500 0.000
# - calculated volume (Å³ per cell) = 202
# - total energy (eV per cell) = -16.42

Entry 19:
# YSnTe2I | Alexandria via LeMat-Bulk | PBE-GGA | optimized geometry
data_YSnTe2I
_symmetry_space_group_name_H-M 'P 4/m m m'
_symmetry_Int_Tables_number 123
_symmetry_space_group_name_Hall '-P 4 2'
_cell_length_a 5.760
_cell_length_b 5.760
_cell_length_c 5.672
_cell_angle_alpha 90.00
_cell_angle_beta 90.00
_cell_angle_gamma 90.00
loop_
_atom_site_label
_atom_site_type_symbol
_atom_site_fract_x
_atom_site_fract_y
_atom_site_fract_z
Y1 Y 0.000 0.000 0.000
Sn1 Sn 0.500 0.500 0.500
Te1 Te 0.000 0.500 0.500
I1 I 0.500 0.500 0.000
# - calculated volume (Å³ per cell) = 188
# - total energy (eV per cell) = -18.34

Entry 20:
# YSnTe2I | Alexandria via LeMat-Bulk | PBE-GGA | optimized geometry
data_YSnTe2I
_symmetry_space_group_name_H-M 'P 4/m m m'
_symmetry_Int_Tables_number 123
_symmetry_space_group_name_Hall '-P 4 2'
_cell_length_a 5.931
_cell_length_b 5.931
_cell_length_c 5.777
_cell_angle_alpha 90.00
_cell_angle_beta 90.00
_cell_angle_gamma 90.00
loop_
_atom_site_label
_atom_site_type_symbol
_atom_site_fract_x
_atom_site_fract_y
_atom_site_fract_z
Y1 Y 0.000 0.000 0.000
Sn1 Sn 0.500 0.500 0.500
Te1 Te 0.000 0.500 0.000
I1 I 0.000 0.000 0.500
# - calculated volume (Å³ per cell) = 203
# - total energy (eV per cell) = -20.24

no.,formation energy without anion corrections (eV/atom)
1,-0.28
2,-0.02
3,0.68
4,-0.28
5,0.49
6,-0.08
7,-0.23
8,-0.06
9,-0.41
10,0.36
11,-0.04
12,0.75
13,0.11
14,1.11
15,0.65
16,0.60
17,1.47
18,1.36
19,-0.01
20,-0.39